{
  "formula": "ScNb4C4",
  "functional": "PBE",
  "state": "optimized geometry",
  "lattice_angstrom": [[-3.608, 3.608, 2.232], [3.608, -3.608, 2.232], [3.608, 3.608, -2.232]],
  "species": ["Sc", "Nb", "Nb", "Nb", "Nb", "C", "C", "C", "C"],
  "fractional_positions": [[0.000, 0.000, 0.000], [0.181, 0.615, 0.796], [0.385, 0.181, 0.566], [0.615, 0.819, 0.434], [0.819, 0.385, 0.204], [0.100, 0.302, 0.402], [0.302, 0.900, 0.202], [0.698, 0.100, 0.798], [0.900, 0.698, 0.598]],
  "ef_mev_per_atom": -606,
  "space_group": "I4/m, No. 87",
  "dos_ef_per_ev_cell": 2.68
}

{
  "formula": "Nd2InCo",
  "functional": "PBE",
  "state": "optimized geometry",
  "lattice_angstrom": [[0.000, 3.725, 3.725], [3.725, 0.000, 3.725], [3.725, 3.725, 0.000]],
  "species": ["Nd", "Nd", "In", "Co"],
  "fractional_positions": [[0.250, 0.250, 0.250], [0.750, 0.750, 0.750], [0.000, 0.000, 0.000], [0.500, 0.500, 0.500]],
  "ef_mev_per_atom": -105,
  "space_group": "Fm-3m, No. 225",
  "dos_ef_per_ev_cell": 2.49
}